1.
An optimized crystal structure of Ba2ZnSi2. Source: Alexandria via LeMat-Bulk, functional PBE.

Offset from the most stable computed form   0 meV per atom
Formation energy from raw total energies   -0.3341 eV/atom
Space group   No. 12
Calculated volume   28.9 A^3/atom

Geometry as POSCAR:
```
Ba2ZnSi2
1.0
6.194 -2.274 0.000
6.194 2.274 0.000
-4.784 0.000 10.263
Ba Zn Si
4 2 4
Direct
0.118 0.118 0.411
0.280 0.280 0.847
0.720 0.720 0.153
0.882 0.882 0.589
0.453 0.453 0.186
0.547 0.547 0.814
0.032 0.032 0.914
0.414 0.414 0.394
0.586 0.586 0.606
0.968 0.968 0.086
```

=====

2.
An optimized crystal structure of Ba2ZnSi. Source: Alexandria via LeMat-Bulk, functional PBE.

Offset from the most stable computed form   333 meV per atom
Formation energy from raw total energies   0.0691 eV/atom
Space group   No. 99
Calculated volume   35.4 A^3/atom

Geometry as POSCAR:
```
Ba2ZnSi
1.0
3.879 0.000 0.000
0.000 3.879 0.000
0.000 0.000 9.422
Ba Zn Si
2 1 1
Direct
0.000 0.000 0.000
0.500 0.500 0.433
0.500 0.500 0.780
0.000 0.000 0.656
```